# Zr2FeRuSe (PBE, relaxed)
data_Zr2FeRuSe
_chemical_formula_sum 'Zr2 Fe1 Ru1 Se1'
_cell_length_a 4.984
_cell_length_b 4.984
_cell_length_c 4.175
_cell_angle_alpha 90.00
_cell_angle_beta 90.00
_cell_angle_gamma 90.00
_symmetry_space_group_name_H-M 'P 4/m m m'
_symmetry_Int_Tables_number 123
_symmetry_space_group_name_Hall '-P 4 2'
loop_
_atom_site_label
_atom_site_type_symbol
_atom_site_fract_x
_atom_site_fract_y
_atom_site_fract_z
Zr1 Zr 0.000 0.500 0.000
Fe1 Fe 0.000 0.000 0.500
Ru1 Ru 0.500 0.500 0.500
Se1 Se 0.000 0.000 0.000
# V in A^3/atom: 20.74
# Calculated density in kg/m³: 6700
# Final energy in eV per atom: -7.270
# ΔE_f (raw) in eV/atom: 0.39


# Ac2PAu (PBE, relaxed)
data_Ac2PAu
_chemical_formula_sum 'Ac2 P1 Au1'
_cell_length_a 3.868
_cell_length_b 3.868
_cell_length_c 7.516
_cell_angle_alpha 90.00
_cell_angle_beta 90.00
_cell_angle_gamma 90.00
_symmetry_space_group_name_H-M 'P 4/m m m'
_symmetry_Int_Tables_number 123
_symmetry_space_group_name_Hall '-P 4 2'
loop_
_atom_site_label
_atom_site_type_symbol
_atom_site_fract_x
_atom_site_fract_y
_atom_site_fract_z
Ac1 Ac 0.000 0.000 0.234
P1 P 0.500 0.500 0.000
Au1 Au 0.500 0.500 0.500
# V in A^3/atom: 28.11
# Calculated density in kg/m³: 10073
# Final energy in eV per atom: -5.159
# Formation energy from the elements in eV per atom: -0.93


# ErSnPd (PBE, relaxed)
data_ErSnPd
_chemical_formula_sum 'Er4 Sn4 Pd4'
_cell_length_a 7.148
_cell_length_b 4.628
_cell_length_c 7.949
_cell_angle_alpha 90.00
_cell_angle_beta 90.00
_cell_angle_gamma 90.00
_symmetry_space_group_name_H-M 'P n m a'
_symmetry_Int_Tables_number 62
_symmetry_space_group_name_Hall '-P 2ac 2n'
loop_
_atom_site_label
_atom_site_type_symbol
_atom_site_fract_x
_atom_site_fract_y
_atom_site_fract_z
Er1 Er 0.009 0.250 0.206
Sn1 Sn 0.194 0.250 0.588
Pd1 Pd 0.208 0.750 0.416
# V in A^3/atom: 21.91
# Calculated density in kg/m³: 9912
# Final energy in eV per atom: -5.493
# Formation energy from the elements in eV per atom: -0.91


# Sc3Be2 (PBE, relaxed)
data_Sc3Be2
_chemical_formula_sum 'Sc24 Be16'
_cell_length_a 9.201
_cell_length_b 13.718
_cell_length_c 5.676
_cell_angle_alpha 90.00
_cell_angle_beta 90.00
_cell_angle_gamma 90.00
_symmetry_space_group_name_H-M 'F d d 2'
_symmetry_Int_Tables_number 43
_symmetry_space_group_name_Hall 'F 2 -2d'
loop_
_atom_site_label
_atom_site_type_symbol
_atom_site_fract_x
_atom_site_fract_y
_atom_site_fract_z
Sc1 Sc 0.000 0.000 0.000
Sc2 Sc 0.031 0.398 0.991
Be1 Be 0.018 0.295 0.524
# V in A^3/atom: 17.91
# Calculated density in kg/m³: 2835
# Final energy in eV per atom: -5.081
# Formation energy from the elements in eV per atom: 0.21


# TaFe4Ir (PBE, relaxed)
data_TaFe4Ir
_chemical_formula_sum 'Ta4 Fe16 Ir4'
_cell_length_a 6.712
_cell_length_b 6.712
_cell_length_c 6.712
_cell_angle_alpha 90.00
_cell_angle_beta 90.00
_cell_angle_gamma 90.00
_symmetry_space_group_name_H-M 'F -4 3 m'
_symmetry_Int_Tables_number 216
_symmetry_space_group_name_Hall 'F -4 2 3'
loop_
_atom_site_label
_atom_site_type_symbol
_atom_site_fract_x
_atom_site_fract_y
_atom_site_fract_z
Ta1 Ta 0.000 0.000 0.000
Fe1 Fe 0.125 0.125 0.625
Ir1 Ir 0.250 0.250 0.250
# V in A^3/atom: 12.60
# Calculated density in kg/m³: 13102
# Final energy in eV per atom: -9.306
# Formation energy from the elements in eV per atom: -0.21


# Te2AsBr (PBE, relaxed)
data_Te2AsBr
_chemical_formula_sum 'Te6 As3 Br3'
_cell_length_a 3.8054
_cell_length_b 3.8054
_cell_length_c 26.5140
_cell_angle_alpha 90.00
_cell_angle_beta 90.00
_cell_angle_gamma 120.00
_symmetry_space_group_name_H-M 'R -3 m'
_symmetry_Int_Tables_number 166
_symmetry_space_group_name_Hall '-R 3 2"'
loop_
_atom_site_label
_atom_site_type_symbol
_atom_site_fract_x
_atom_site_fract_y
_atom_site_fract_z
Te1 Te 0.0000 0.0000 0.2372
As1 As 0.0000 0.0000 0.5000
Br1 Br 0.0000 0.0000 0.0000
# V in A^3/atom: 27.71
# Calculated density in kg/m³: 6143
# Final energy in eV per atom: -3.076
# ΔE_f (raw) in eV/atom: 0.08


# ErGa2Ni9 (PBE, relaxed)
data_ErGa2Ni9
_chemical_formula_sum 'Er3 Ga6 Ni27'
_cell_length_a 4.8366
_cell_length_b 4.8366
_cell_length_c 22.9613
_cell_angle_alpha 90.00
_cell_angle_beta 90.00
_cell_angle_gamma 120.00
_symmetry_space_group_name_H-M 'R -3 m'
_symmetry_Int_Tables_number 166
_symmetry_space_group_name_Hall '-R 3 2"'
loop_
_atom_site_label
_atom_site_type_symbol
_atom_site_fract_x
_atom_site_fract_y
_atom_site_fract_z
Er1 Er 0.0000 0.0000 0.0000
Ga1 Ga 0.0000 0.0000 0.1416
Ni1 Ni 0.0000 0.0000 0.3341
Ni2 Ni 0.0000 0.0000 0.5000
Ni3 Ni 0.0061 0.5030 0.9132
# V in A^3/atom: 12.92
# Calculated density in kg/m³: 8942
# Final energy in eV per atom: -5.452
# Formation energy from the elements in eV per atom: -0.23


# ZnReBr2 (PBE, relaxed)
data_ZnReBr2
_chemical_formula_sum 'Zn2 Re2 Br4'
_cell_length_a 3.127
_cell_length_b 4.383
_cell_length_c 14.820
_cell_angle_alpha 90.00
_cell_angle_beta 90.00
_cell_angle_gamma 90.00
_symmetry_space_group_name_H-M 'I m m m'
_symmetry_Int_Tables_number 71
_symmetry_space_group_name_Hall '-I 2 2'
loop_
_atom_site_label
_atom_site_type_symbol
_atom_site_fract_x
_atom_site_fract_y
_atom_site_fract_z
Zn1 Zn 0.000 0.000 0.000
Re1 Re 0.000 0.000 0.500
Br1 Br 0.000 0.500 0.140
# V in A^3/atom: 25.39
# Calculated density in kg/m³: 6727
# Final energy in eV per atom: -3.952
# ΔE_f (raw) in eV/atom: 0.31